(1)
A plane-wave DFT calculation with PBE was carried out for crystalline ErTaTc4 at its relaxed geometry.

```
data_ErTaTc4
_chemical_formula_sum 'Er4 Ta4 Tc16'
_space_group_name_H-M_alt 'F -4 3 m'
_space_group_IT_number 216
_space_group_name_Hall 'F -4 2 3'
_cell_length_a 7.4417
_cell_length_b 7.4417
_cell_length_c 7.4417
_cell_angle_alpha 90.00
_cell_angle_beta 90.00
_cell_angle_gamma 90.00
loop_
_atom_site_label
_atom_site_type_symbol
_atom_site_fract_x
_atom_site_fract_y
_atom_site_fract_z
Er1 Er 0.0000 0.0000 0.0000
Ta1 Ta 0.2500 0.2500 0.2500
Tc1 Tc 0.1245 0.1245 0.6245
```

Summary:
Energy of formation in eV/atom: -0.095

(2)
A plane-wave DFT calculation with PBE was carried out for crystalline ErTaTc at its relaxed geometry.

```
data_ErTaTc
_chemical_formula_sum 'Er16 Ta16 Tc16'
_space_group_name_H-M_alt 'F d d d'
_space_group_IT_number 70
_cell_length_a 5.0133
_cell_length_b 10.0221
_cell_length_c 19.7097
_cell_angle_alpha 90.00
_cell_angle_beta 90.00
_cell_angle_gamma 90.00
loop_
_space_group_symop_operation_xyz
'x,y,z'
'-x,-y,-z'
'-x+1/4,-y+1/4,z'
'x+1/4,y+1/4,-z'
'x,-y+1/4,-z+1/4'
'-x,y+1/4,z+1/4'
'-x+1/4,y,-z+1/4'
'x+1/4,-y,z+1/4'
'x,y+1/2,z+1/2'
'-x,-y+1/2,-z+1/2'
'-x+1/4,-y+3/4,z+1/2'
'x+1/4,y+3/4,-z+1/2'
'x,-y+3/4,-z+3/4'
'-x,y+3/4,z+3/4'
'-x+1/4,y+1/2,-z+3/4'
'x+1/4,-y+1/2,z+3/4'
'x+1/2,y,z+1/2'
'-x+1/2,-y,-z+1/2'
'-x+3/4,-y+1/4,z+1/2'
'x+3/4,y+1/4,-z+1/2'
'x+1/2,-y+1/4,-z+3/4'
'-x+1/2,y+1/4,z+3/4'
'-x+3/4,y,-z+3/4'
'x+3/4,-y,z+3/4'
'x+1/2,y+1/2,z'
'-x+1/2,-y+1/2,-z'
'-x+3/4,-y+3/4,z'
'x+3/4,y+3/4,-z'
'x+1/2,-y+3/4,-z+1/4'
'-x+1/2,y+3/4,z+1/4'
'-x+3/4,y+1/2,-z+1/4'
'x+3/4,-y+1/2,z+1/4'
loop_
_atom_site_label
_atom_site_type_symbol
_atom_site_fract_x
_atom_site_fract_y
_atom_site_fract_z
Er1 Er 0.1250 0.2821 0.1250
Ta1 Ta 0.1250 0.1250 0.5374
Tc1 Tc 0.1250 0.1250 0.0004
```

Summary:
Energy of formation in eV/atom: 0.061

(3)
A plane-wave DFT calculation with PBE was carried out for crystalline ErTaTe at its relaxed geometry.

```
data_ErTaTe
_chemical_formula_sum 'Er2 Ta2 Te2'
_space_group_name_H-M_alt 'P 4/n m m'
_space_group_IT_number 129
_cell_length_a 3.9074
_cell_length_b 3.9074
_cell_length_c 10.0050
_cell_angle_alpha 90.00
_cell_angle_beta 90.00
_cell_angle_gamma 90.00
loop_
_space_group_symop_operation_xyz
'x,y,z'
'-x,-y,-z'
'-y+1/2,x,z'
'y+1/2,-x,-z'
'-x+1/2,-y+1/2,z'
'x+1/2,y+1/2,-z'
'y,-x+1/2,z'
'-y,x+1/2,-z'
'x+1/2,-y,-z'
'-x+1/2,y,z'
'-y,-x,-z'
'y,x,z'
'-x,y+1/2,-z'
'x,-y+1/2,z'
'y+1/2,x+1/2,-z'
'-y+1/2,-x+1/2,z'
loop_
_atom_site_label
_atom_site_type_symbol
_atom_site_fract_x
_atom_site_fract_y
_atom_site_fract_z
Er1 Er 0.2500 0.2500 0.2490
Ta1 Ta 0.2500 0.2500 0.9483
Te1 Te 0.2500 0.2500 0.6379
```

Summary:
Energy relative to the elements, uncorrected in eV per atom: -0.5406

(4)
A plane-wave DFT calculation with PBE was carried out for crystalline ErTaTe2 at its relaxed geometry.

```
data_ErTaTe2
_chemical_formula_sum 'Er3 Ta3 Te6'
_space_group_name_H-M_alt 'R -3 m'
_space_group_IT_number 166
_space_group_name_Hall '-R 3 2"'
_cell_length_a 3.6283
_cell_length_b 3.6283
_cell_length_c 29.7039
_cell_angle_alpha 90.00
_cell_angle_beta 90.00
_cell_angle_gamma 120.00
loop_
_atom_site_label
_atom_site_type_symbol
_atom_site_fract_x
_atom_site_fract_y
_atom_site_fract_z
Er1 Er 0.0000 0.0000 0.0000
Ta1 Ta 0.0000 0.0000 0.5000
Te1 Te 0.0000 0.0000 0.1037
```

Summary:
Energy relative to the elements, uncorrected in eV per atom: -0.1813

Number 1: E_tot -9.74 eV per atom. Number 2: E_tot -8.87 eV per atom. Number 3: E_tot -7.06 eV per atom. Number 4: E_tot -5.86 eV per atom.